# 1
Compound: AlSiCl2
Source: Alexandria
Functional: PBE-GGA
Structure: optimized geometry

a b c (Å): 7.5560 7.5560 7.5560
angles (deg): 155.74 141.78 45.78
Last column: nearest neighbours and their distance in Å.
Element x y z (fractional)
Si (0.3689, 0.3689, 0.0000)  2 Al 2.55, 2 Cl 2.63
Al (0.2255, 0.7255, 0.5000)  2 Cl 2.36, 2 Si 2.55
Cl (0.1002, 0.1002, 0.0000)  2 Al 2.36
Cl (0.8054, 0.3054, 0.5000)  2 Si 2.63

## Properties
Offset from the most stable computed form ... 323 meV/atom
N(E_F) ... 1.26 states/eV/f.u.

# 2
Compound: AlSiCl2
Source: Alexandria
Functional: PBE-GGA
Structure: optimized geometry

a b c (Å): 5.4171 5.4171 3.2877
angles (deg): 72.06 72.06 107.83
Last column: nearest neighbours and their distance in Å.
Element x y z (fractional)
Si (0.5000, 0.0000, 0.5000)  4 Cl 2.70
Al (0.0000, 0.5000, 0.5000)  4 Cl 2.70
Cl (0.0000, 0.0000, 0.0000)  2 Al 2.70, 2 Si 2.70
Cl (0.5000, 0.5000, 0.0000)  2 Si 2.70, 2 Al 2.70

## Properties
Offset from the most stable computed form ... 584 meV/atom
N(E_F) ... 1.11 states/eV/f.u.

# 3
Compound: AlSi2Cl
Source: Alexandria
Functional: PBE-GGA
Structure: optimized geometry

a b c (Å): 5.9313 5.9313 4.6045
angles (deg): 68.31 68.31 28.53
Last column: nearest neighbours and their distance in Å.
Element x y z (fractional)
Si (0.0414, 0.0414, 0.9433)  2 Si 2.59, 4 Al 2.84-2.88
Si (0.7408, 0.7408, 0.8130)  2 Cl 2.47, 2 Si 2.59
Al (0.4603, 0.4603, 0.5162)  6 Si 2.78-2.88, 2 Al 2.92, 1 Cl 3.09
Cl (0.2575, 0.2575, 0.2275)  2 Si 2.47

## Properties
Offset from the most stable computed form ... 648 meV/atom
N(E_F) ... 1.45 states/eV/f.u.

# 4
Compound: AlSi2Cl
Source: Alexandria
Functional: PBE-GGA
Structure: optimized geometry

a b c (Å): 3.5178 4.2228 12.4287
angles (deg): 98.45 89.91 90.93
Last column: nearest neighbours and their distance in Å.
Element x y z (fractional)
Si (0.2423, 0.8174, 0.5313)  5 Si 2.43-2.55
Si (0.7577, 0.1826, 0.4687)  5 Si 2.43-2.55
Si (0.7362, 0.5966, 0.6337)  3 Si 2.43-2.49, 2 Al 2.44-2.47
Si (0.2638, 0.4034, 0.3663)  3 Si 2.43-2.49, 2 Al 2.44-2.47
Al (0.7507, 0.1450, 0.7357)  2 Cl 2.36-2.37, 2 Si 2.44-2.47
Al (0.2493, 0.8550, 0.2643)  2 Cl 2.36-2.37, 2 Si 2.44-2.47
Cl (0.2490, 0.1865, 0.8646)  2 Al 2.36-2.37
Cl (0.7510, 0.8135, 0.1354)  2 Al 2.36-2.37

## Properties
Offset from the most stable computed form ... 166 meV/atom
N(E_F) ... 0.85 states/eV/f.u.

N(E_F) of number 2 (AlSiCl2)?
1.11 states/eV/f.u.

Which of these has the lowest offset from the most stable computed form?
number 4

Repeat the fourth record exactly.
Compound: AlSi2Cl
Source: Alexandria
Functional: PBE-GGA
Structure: optimized geometry

a b c (Å): 3.5178 4.2228 12.4287
angles (deg): 98.45 89.91 90.93
Last column: nearest neighbours and their distance in Å.
Element x y z (fractional)
Si (0.2423, 0.8174, 0.5313)  5 Si 2.43-2.55
Si (0.7577, 0.1826, 0.4687)  5 Si 2.43-2.55
Si (0.7362, 0.5966, 0.6337)  3 Si 2.43-2.49, 2 Al 2.44-2.47
Si (0.2638, 0.4034, 0.3663)  3 Si 2.43-2.49, 2 Al 2.44-2.47
Al (0.7507, 0.1450, 0.7357)  2 Cl 2.36-2.37, 2 Si 2.44-2.47
Al (0.2493, 0.8550, 0.2643)  2 Cl 2.36-2.37, 2 Si 2.44-2.47
Cl (0.2490, 0.1865, 0.8646)  2 Al 2.36-2.37
Cl (0.7510, 0.8135, 0.1354)  2 Al 2.36-2.37

## Properties
Offset from the most stable computed form ... 166 meV/atom
N(E_F) ... 0.85 states/eV/f.u.

Which value of N(E_F) does entry 4 give?
0.85 states/eV/f.u.